(1)
{"formula": "RbIr2Br", "functional": "PBE-GGA", "state": "optimized geometry", "lattice": [[-2.626, 2.626, 8.169], [2.626, -2.626, 8.169], [2.626, 2.626, -8.169]], "species": ["Rb", "Rb", "Ir", "Ir", "Ir", "Ir", "Br", "Br"], "fractional_positions": [[0.375, 0.625, 0.750], [0.625, 0.375, 0.250], [0.000, 0.000, 0.000], [0.000, 0.000, 0.500], [0.000, 0.500, 0.000], [0.500, 0.000, 0.500], [0.125, 0.875, 0.250], [0.875, 0.125, 0.750]], "raw_formation_energy_ev_per_atom": 0.73, "de_polymorph_mev_per_atom": 0.0}

---

(2)
{"formula": "RbIrBr2", "functional": "PBE-GGA", "state": "optimized geometry", "lattice": [[0.000, 3.739, 3.739], [3.739, 0.000, 3.739], [3.739, 3.739, 0.000]], "species": ["Rb", "Ir", "Br", "Br"], "fractional_positions": [[0.000, 0.000, 0.000], [0.500, 0.500, 0.500], [0.250, 0.250, 0.250], [0.750, 0.750, 0.750]], "raw_formation_energy_ev_per_atom": 0.36, "de_polymorph_mev_per_atom": 478.0}

---

(3)
{"formula": "RbIrBr2", "functional": "PBE-GGA", "state": "optimized geometry", "lattice": [[-3.158, 3.158, 7.241], [3.158, -3.158, 7.241], [3.158, 3.158, -7.241]], "species": ["Rb", "Rb", "Ir", "Ir", "Br", "Br", "Br", "Br"], "fractional_positions": [[0.000, 0.000, 0.000], [0.750, 0.250, 0.500], [0.250, 0.750, 0.500], [0.500, 0.500, 0.000], [0.255, 0.625, 0.130], [0.375, 0.505, 0.630], [0.495, 0.125, 0.870], [0.875, 0.745, 0.370]], "raw_formation_energy_ev_per_atom": -0.12, "de_polymorph_mev_per_atom": 0.0}

---

(4)
{"formula": "Rb3IrBr6", "functional": "PBE-GGA", "state": "optimized geometry", "lattice": [[0.000, 5.723, 5.723], [5.723, 0.000, 5.723], [5.723, 5.723, 0.000]], "species": ["Rb", "Rb", "Rb", "Ir", "Br", "Br", "Br", "Br", "Br", "Br"], "fractional_positions": [[0.000, 0.000, 0.000], [0.250, 0.250, 0.250], [0.750, 0.750, 0.750], [0.500, 0.500, 0.500], [0.281, 0.281, 0.719], [0.281, 0.719, 0.281], [0.281, 0.719, 0.719], [0.719, 0.281, 0.281], [0.719, 0.281, 0.719], [0.719, 0.719, 0.281]], "raw_formation_energy_ev_per_atom": -1.10, "de_polymorph_mev_per_atom": 27.4}

---

(5)
{"formula": "RbIr3Br", "functional": "PBE-GGA", "state": "optimized geometry", "lattice": [[5.137, 0.000, 0.000], [0.000, 5.137, 0.000], [0.000, 0.000, 5.137]], "species": ["Rb", "Ir", "Ir", "Ir", "Br"], "fractional_positions": [[0.000, 0.000, 0.000], [0.000, 0.000, 0.500], [0.000, 0.500, 0.000], [0.500, 0.000, 0.000], [0.500, 0.500, 0.500]], "raw_formation_energy_ev_per_atom": 3.36, "de_polymorph_mev_per_atom": 1605.0}

---

(6)
{"formula": "Rb2IrBr5", "functional": "PBE-GGA", "state": "optimized geometry", "lattice": [[4.860, -5.530, 0.000], [4.860, 5.530, 0.000], [-4.859, 0.000, 5.515]], "species": ["Rb", "Rb", "Ir", "Br", "Br", "Br", "Br", "Br"], "fractional_positions": [[0.250, 0.750, 0.000], [0.750, 0.250, 0.000], [0.016, 0.016, 0.500], [0.224, 0.224, 0.952], [0.224, 0.773, 0.500], [0.264, 0.264, 0.501], [0.773, 0.224, 0.500], [0.774, 0.774, 0.048]], "raw_formation_energy_ev_per_atom": -0.92}

---

(7)
{"formula": "Rb2ReIrBr6", "functional": "PBE-GGA", "state": "optimized geometry", "lattice": [[0.000, 5.288, 5.288], [5.288, 0.000, 5.288], [5.288, 5.288, 0.000]], "species": ["Rb", "Rb", "Re", "Ir", "Br", "Br", "Br", "Br", "Br", "Br"], "fractional_positions": [[0.250, 0.250, 0.250], [0.750, 0.750, 0.750], [0.000, 0.000, 0.000], [0.500, 0.500, 0.500], [0.250, 0.250, 0.750], [0.250, 0.750, 0.250], [0.250, 0.750, 0.750], [0.750, 0.250, 0.250], [0.750, 0.250, 0.750], [0.750, 0.750, 0.250]], "raw_formation_energy_ev_per_atom": -0.42}

---

(8)
{"formula": "Rb2IrRuBr6", "functional": "PBE-GGA", "state": "optimized geometry", "lattice": [[-3.714, 3.714, 5.282], [3.714, -3.714, 5.282], [3.714, 3.714, -5.282]], "species": ["Rb", "Rb", "Ir", "Ru", "Br", "Br", "Br", "Br", "Br", "Br"], "fractional_positions": [[0.250, 0.750, 0.500], [0.750, 0.250, 0.500], [0.000, 0.000, 0.000], [0.500, 0.500, 0.000], [0.246, 0.246, 0.000], [0.247, 0.247, 0.494], [0.247, 0.753, 0.000], [0.753, 0.247, 0.000], [0.753, 0.753, 0.506], [0.754, 0.754, 0.000]], "raw_formation_energy_ev_per_atom": -0.54}

---

(9)
{"formula": "Rb2IrSBr6", "functional": "PBE-GGA", "state": "optimized geometry", "lattice": [[-4.065, 4.065, 5.034], [4.065, -4.065, 5.034], [4.065, 4.065, -5.034]], "species": ["Rb", "Rb", "Ir", "S", "Br", "Br", "Br", "Br", "Br", "Br"], "fractional_positions": [[0.250, 0.750, 0.500], [0.750, 0.250, 0.500], [0.000, 0.000, 0.000], [0.500, 0.500, 0.000], [0.219, 0.219, 0.438], [0.219, 0.781, 0.000], [0.254, 0.254, 0.000], [0.746, 0.746, 0.000], [0.781, 0.219, 0.000], [0.781, 0.781, 0.562]], "raw_formation_energy_ev_per_atom": -0.61}

---

(10)
{"formula": "Rb2SbIrBr6", "functional": "PBE-GGA", "state": "optimized geometry", "lattice": [[-3.869, 3.869, 5.493], [3.869, -3.869, 5.493], [3.869, 3.869, -5.493]], "species": ["Rb", "Rb", "Sb", "Ir", "Br", "Br", "Br", "Br", "Br", "Br"], "fractional_positions": [[0.250, 0.750, 0.500], [0.750, 0.250, 0.500], [0.000, 0.000, 0.000], [0.500, 0.500, 0.000], [0.264, 0.264, 0.000], [0.264, 0.264, 0.529], [0.264, 0.736, 0.000], [0.736, 0.264, 0.000], [0.736, 0.736, 0.000], [0.736, 0.736, 0.471]], "raw_formation_energy_ev_per_atom": -0.76}

---

(11)
{"formula": "Rb2ScIrBr6", "functional": "PBE-GGA", "state": "optimized geometry", "lattice": [[-3.808, 3.808, 5.377], [3.808, -3.808, 5.377], [3.808, 3.808, -5.377]], "species": ["Rb", "Rb", "Sc", "Ir", "Br", "Br", "Br", "Br", "Br", "Br"], "fractional_positions": [[0.250, 0.750, 0.500], [0.750, 0.250, 0.500], [0.000, 0.000, 0.000], [0.500, 0.500, 0.000], [0.249, 0.249, 0.499], [0.249, 0.751, 0.000], [0.250, 0.250, 0.000], [0.750, 0.750, 0.000], [0.751, 0.249, 0.000], [0.751, 0.751, 0.501]], "raw_formation_energy_ev_per_atom": -1.08}

---

(12)
{"formula": "RbIr2SeBr", "functional": "PBE-GGA", "state": "optimized geometry", "lattice": [[4.577, 0.000, 0.000], [0.000, 4.577, 0.000], [0.000, 0.000, 7.257]], "species": ["Rb", "Ir", "Ir", "Se", "Br"], "fractional_positions": [[0.000, 0.000, 0.000], [0.000, 0.500, 0.500], [0.500, 0.000, 0.500], [0.500, 0.500, 0.500], [0.500, 0.500, 0.000]], "raw_formation_energy_ev_per_atom": 0.43}

---

(13)
{"formula": "RbIrSe2Br", "functional": "PBE-GGA", "state": "optimized geometry", "lattice": [[6.344, 0.000, 0.000], [0.000, 6.344, 0.000], [0.000, 0.000, 6.237]], "species": ["Rb", "Ir", "Se", "Se", "Br"], "fractional_positions": [[0.000, 0.000, 0.000], [0.500, 0.500, 0.500], [0.000, 0.500, 0.000], [0.500, 0.000, 0.000], [0.000, 0.000, 0.500]], "raw_formation_energy_ev_per_atom": 1.76, "de_polymorph_mev_per_atom": 2024.0}

---

(14)
{"formula": "RbIrSe2Br", "functional": "PBE-GGA", "state": "optimized geometry", "lattice": [[4.927, 0.000, 0.000], [0.000, 4.927, 0.000], [0.000, 0.000, 5.671]], "species": ["Rb", "Ir", "Se", "Se", "Br"], "fractional_positions": [[0.000, 0.000, 0.000], [0.500, 0.500, 0.500], [0.000, 0.500, 0.500], [0.500, 0.000, 0.500], [0.500, 0.500, 0.000]], "raw_formation_energy_ev_per_atom": -0.26, "de_polymorph_mev_per_atom": 0.0}

---

(15)
{"formula": "Rb2IrSeBr6", "functional": "PBE-GGA", "state": "optimized geometry", "lattice": [[-3.923, 3.923, 5.252], [3.923, -3.923, 5.252], [3.923, 3.923, -5.252]], "species": ["Rb", "Rb", "Ir", "Se", "Br", "Br", "Br", "Br", "Br", "Br"], "fractional_positions": [[0.250, 0.750, 0.500], [0.750, 0.250, 0.500], [0.000, 0.000, 0.000], [0.500, 0.500, 0.000], [0.229, 0.229, 0.458], [0.229, 0.771, 0.000], [0.243, 0.243, 0.000], [0.757, 0.757, 0.000], [0.771, 0.229, 0.000], [0.771, 0.771, 0.542]], "raw_formation_energy_ev_per_atom": -0.66}

---

(16)
{"formula": "Rb2SiIrBr6", "functional": "PBE-GGA", "state": "optimized geometry", "lattice": [[-3.751, 3.751, 5.321], [3.751, -3.751, 5.321], [3.751, 3.751, -5.321]], "species": ["Rb", "Rb", "Si", "Ir", "Br", "Br", "Br", "Br", "Br", "Br"], "fractional_positions": [[0.250, 0.750, 0.500], [0.750, 0.250, 0.500], [0.000, 0.000, 0.000], [0.500, 0.500, 0.000], [0.256, 0.256, 0.513], [0.256, 0.744, 0.000], [0.257, 0.257, 0.000], [0.743, 0.743, 0.000], [0.744, 0.256, 0.000], [0.744, 0.744, 0.487]], "raw_formation_energy_ev_per_atom": -0.72}

---

(17)
{"formula": "Rb2SnIrBr6", "functional": "PBE-GGA", "state": "optimized geometry", "lattice": [[-3.886, 3.886, 5.510], [3.886, -3.886, 5.510], [3.886, 3.886, -5.510]], "species": ["Rb", "Rb", "Sn", "Ir", "Br", "Br", "Br", "Br", "Br", "Br"], "fractional_positions": [[0.250, 0.750, 0.500], [0.750, 0.250, 0.500], [0.000, 0.000, 0.000], [0.500, 0.500, 0.000], [0.266, 0.266, 0.000], [0.266, 0.266, 0.532], [0.266, 0.734, 0.000], [0.734, 0.266, 0.000], [0.734, 0.734, 0.000], [0.734, 0.734, 0.468]], "raw_formation_energy_ev_per_atom": -0.86}

---

(18)
{"formula": "Rb2TcIrBr6", "functional": "PBE-GGA", "state": "optimized geometry", "lattice": [[-3.749, 3.749, 5.325], [3.749, -3.749, 5.325], [3.749, 3.749, -5.325]], "species": ["Rb", "Rb", "Tc", "Ir", "Br", "Br", "Br", "Br", "Br", "Br"], "fractional_positions": [[0.250, 0.750, 0.500], [0.750, 0.250, 0.500], [0.000, 0.000, 0.000], [0.500, 0.500, 0.000], [0.255, 0.255, 0.000], [0.255, 0.255, 0.509], [0.255, 0.745, 0.000], [0.745, 0.255, 0.000], [0.745, 0.745, 0.000], [0.745, 0.745, 0.491]], "raw_formation_energy_ev_per_atom": -0.58}

---

(19)
{"formula": "RbTeIr2Br", "functional": "PBE-GGA", "state": "optimized geometry", "lattice": [[4.868, 0.000, 0.000], [0.000, 4.868, 0.000], [0.000, 0.000, 8.813]], "species": ["Rb", "Te", "Ir", "Ir", "Br"], "fractional_positions": [[0.000, 0.000, 0.000], [0.000, 0.000, 0.500], [0.000, 0.500, 0.500], [0.500, 0.000, 0.500], [0.500, 0.500, 0.000]], "raw_formation_energy_ev_per_atom": 0.69}

---

(20)
{"formula": "Rb2TeIrBr6", "functional": "PBE-GGA", "state": "optimized geometry", "lattice": [[-3.938, 3.938, 5.447], [3.938, -3.938, 5.447], [3.938, 3.938, -5.447]], "species": ["Rb", "Rb", "Te", "Ir", "Br", "Br", "Br", "Br", "Br", "Br"], "fractional_positions": [[0.250, 0.750, 0.500], [0.750, 0.250, 0.500], [0.000, 0.000, 0.000], [0.500, 0.500, 0.000], [0.266, 0.266, 0.000], [0.271, 0.271, 0.542], [0.271, 0.729, 0.000], [0.729, 0.271, 0.000], [0.729, 0.729, 0.458], [0.734, 0.734, 0.000]], "raw_formation_energy_ev_per_atom": -0.70}